## La2Sm6Dy5 (PBE)

Data for crystalline La2Sm6Dy5 at its relaxed geometry.

Cell and atoms, written as POSCAR:
```
La2Sm6Dy5
1.0
3.644 0.000 0.000
0.000 11.856 0.000
0.000 0.000 20.506
Sm Dy La
12 10 4
direct
0.000 0.422 0.863 Sm
0.000 0.440 0.576 Sm
0.000 0.078 0.363 Sm
0.500 0.679 0.876 Sm
0.000 0.922 0.637 Sm
0.000 0.578 0.137 Sm
0.000 0.060 0.076 Sm
0.500 0.179 0.624 Sm
0.000 0.940 0.924 Sm
0.000 0.560 0.424 Sm
0.500 0.821 0.376 Sm
0.500 0.321 0.124 Sm
0.500 0.300 0.446 Dy
0.500 0.000 0.500 Dy
0.500 0.593 0.280 Dy
0.500 0.200 0.946 Dy
0.500 0.500 0.000 Dy
0.500 0.407 0.720 Dy
0.500 0.907 0.780 Dy
0.500 0.800 0.054 Dy
0.500 0.700 0.554 Dy
0.500 0.093 0.220 Dy
0.000 0.332 0.281 La
0.000 0.168 0.781 La
0.000 0.832 0.219 La
0.000 0.668 0.719 La
```

The calculation puts the raw total energy at -59.9 eV/f.u. Its space-group type is Pbam, No. 55.